Here is crystalline SrMgRe4 at its relaxed geometry from Alexandria. Energies are from PBE. Values from VASP.

Structure (Quantum ESPRESSO input):
```
&SYSTEM
  ibrav = 0, nat = 6, ntyp = 3
/
ATOMIC_SPECIES
Re 186.21 Re.upf
Sr 87.62 Sr.upf
Mg 24.30 Mg.upf
CELL_PARAMETERS angstrom
0.000 3.821 3.821
3.821 0.000 3.821
3.821 3.821 0.000
ATOMIC_POSITIONS crystal
Re 0.877 0.374 0.374
Sr 0.750 0.750 0.750
Re 0.374 0.374 0.374
Re 0.374 0.877 0.374
Mg 0.000 0.000 0.000
Re 0.374 0.374 0.877
```

Summary:
Symmetry: F-43m (216)
Density of states at the Fermi level, states/eV per cell: 4.65
Density, g/cm³: 12.7
Formation enthalpy at 0 K, eV/atom: 0.4441

***

Here is crystalline Cd2CoSiTc at its relaxed geometry from Alexandria. Energies are from PBE. Values from VASP.

Structure (Quantum ESPRESSO input):
```
&SYSTEM
  ibrav = 0, nat = 5, ntyp = 4
/
ATOMIC_SPECIES
Tc 98.00 Tc.upf
Cd 112.41 Cd.upf
Si 28.09 Si.upf
Co 58.93 Co.upf
CELL_PARAMETERS angstrom
4.872 0.000 0.000
0.000 4.211 0.000
0.000 0.000 4.872
ATOMIC_POSITIONS crystal
Tc 0.500 0.500 0.500
Cd 0.500 0.000 0.000
Si 0.000 0.500 0.000
Co 0.000 0.000 0.000
Cd 0.000 0.000 0.500
```

Summary:
Symmetry: P4/mmm (123)
Formation energy (no corrections), meV/atom: 854
Density of states at the Fermi level, states/eV per cell: 3.68
Density, g/cm³: 6.8

***

Here is crystalline Ti2HgMo at its relaxed geometry from Alexandria. Energies are from PBE. Values from VASP.

Structure (Quantum ESPRESSO input):
```
&SYSTEM
  ibrav = 0, nat = 4, ntyp = 3
/
ATOMIC_SPECIES
Ti 47.87 Ti.upf
Mo 95.94 Mo.upf
Hg 200.59 Hg.upf
CELL_PARAMETERS angstrom
3.269 0.000 0.000
0.000 3.269 0.000
0.000 0.000 6.499
ATOMIC_POSITIONS crystal
Ti 0.000 0.000 0.219
Mo 0.500 0.500 0.000
Hg 0.500 0.500 0.500
Ti 0.000 0.000 0.781
```

Summary:
Symmetry: P4/mmm (123)
Density of states at the Fermi level, states/eV per cell: 3.66
Density, g/cm³: 9.4
Formation enthalpy at 0 K, eV/atom: -0.1598